DyEr8Sc4, relaxed, DFT GGA-PBE; E_tot = -63.0 eV per cell; ΔE_f = 6.093 kcal/mol of atoms; mass density = 7.37 g/cm³
1.0
-1.3452 -3.1056 -6.1390
4.7446 -2.7611 4.3596
-7.0619 -1.8749 6.4981
Er Sc Dy
8 4 1
direct
0.4951 0.2475 0.2884
0.9591 0.2066 0.7116
0.0409 0.2475 0.2884
0.9591 0.7525 0.7116
0.5686 0.7843 0.3529
0.0409 0.7934 0.2884
0.5049 0.7525 0.7116
0.4314 0.2157 0.6471
0.0000 0.0000 0.0000
0.0000 0.5000 0.0000
0.5000 0.5000 0.0000
0.5000 0.0000 0.0000
0.0000 0.5000 0.5000

HfV2BiCl, relaxed, DFT GGA-PBE; E_tot = -31.8 eV per cell; uncorrected formation energy = 433 meV/atom; mass density = 9.43 g/cm³
1.0
-2.9589 2.5924 -1.9583
0.7953 -2.2313 -4.1554
-3.1657 -2.8962 0.9493
Bi V Cl Hf
1 2 1 1
direct
0.5000 0.5000 0.5000
0.0000 0.0000 0.5000
0.5000 0.0000 0.0000
0.0000 0.0000 0.0000
0.0000 0.5000 0.0000